Record 1
The following is a meta-GGA SCAN calculation of a PBEsol-optimized structure of BaScSeN2, from Alexandria.

Total energy: -95.7 eV/cell
Formation energy (no corrections): -0.6476 eV/atom

The structure in extended XYZ format:
```
5
Lattice="-2.434 -2.062 -3.062 3.479 -2.509 -1.076 -1.438 -3.493 3.495" Properties=species:S:1:pos:R:3 pbc="T T T"
Sc 0.000 0.000 0.000
Ba -0.197 -4.032 -0.321
Se -0.719 -1.746 1.748
N 1.739 -1.254 -0.538
N -1.217 -1.031 -1.531
```

=====

Record 2
The following is a meta-GGA SCAN calculation of a PBEsol-optimized structure of BaSe2N, from Alexandria.

Total energy: -87.9 eV/cell
Formation energy (no corrections): 0.2764 eV/atom

The structure in extended XYZ format:
```
4
Lattice="4.485 0.000 0.000 2.243 3.884 0.000 2.243 1.295 5.223" Properties=species:S:1:pos:R:3 pbc="T T T"
Ba 0.000 0.000 0.000
Se 6.728 3.884 3.047
Se 2.243 1.295 2.175
N 4.485 2.590 2.611
```

=====

Record 3
The following is a meta-GGA SCAN calculation of a PBEsol-optimized structure of Ba3SeN, from Alexandria.

Total energy: -152.8 eV/cell
Formation energy (no corrections): -0.9503 eV/atom

The structure in extended XYZ format:
```
5
Lattice="-5.350 -0.340 -0.665 0.419 -5.347 -0.641 -0.618 -0.687 5.322" Properties=species:S:1:pos:R:3 pbc="T T T"
Ba 0.210 -2.673 -0.321
Ba -0.309 -0.343 2.661
Ba -2.675 -0.170 -0.333
Se -2.774 -3.187 2.008
N 0.000 0.000 0.000
```

=====

Record 4
The following is a meta-GGA SCAN calculation of a PBEsol-optimized structure of BaSiSeN2, from Alexandria.

Total energy: -79.1 eV/cell
Formation energy (no corrections): 1.8301 eV/atom

The structure in extended XYZ format:
```
5
Lattice="4.347 0.000 0.000 0.000 4.347 0.000 0.000 0.000 6.424" Properties=species:S:1:pos:R:3 pbc="T T T"
Si 2.173 2.173 3.212
Ba 0.000 0.000 0.000
Se 0.000 0.000 3.212
N 0.000 2.173 0.000
N 2.173 0.000 0.000
```

=====

Record 5
The following is a meta-GGA SCAN calculation of a PBEsol-optimized structure of BaSrSeN2, from Alexandria.

Total energy: -98.3 eV/cell
Formation energy (no corrections): 0.4319 eV/atom

The structure in extended XYZ format:
```
5
Lattice="-3.826 -2.463 0.922 2.011 -1.690 3.828 -2.311 4.846 3.353" Properties=species:S:1:pos:R:3 pbc="T T T"
Sr -2.063 0.347 4.052
Ba 0.000 0.000 0.000
Se -1.156 2.423 1.676
N 1.005 -0.845 1.914
N -1.913 -1.231 0.461
```

=====

Record 6
The following is a meta-GGA SCAN calculation of a PBEsol-optimized structure of BaTaSe2N, from Alexandria.

Total energy: -147.1 eV/cell
Formation energy (no corrections): 1.6987 eV/atom

The structure in extended XYZ format:
```
5
Lattice="4.238 0.000 0.000 0.000 5.724 0.000 0.000 0.000 5.724" Properties=species:S:1:pos:R:3 pbc="T T T"
N 2.119 0.000 0.000
Ba 0.000 0.000 0.000
Se 0.000 0.000 2.862
Se 0.000 2.862 0.000
Ta 2.119 2.862 2.862
```